Record 1
# CeSmZnPd

An optimized crystal structure of CeSmZnPd (GGA-PBE, Alexandria).

Results
- Crystal system: cubic
- VASP energy: -4.720 eV per atom
- Magnetization: 0.78 μB per cell
- Space-group type: No. 216
- D(E_F): 7.860 states/eV per cell

Cell: 5.1108 5.1108 5.1108 Å, 60.00 60.00 60.00°
Closest atoms and distances in Å follow each position.
Fractional coordinates of all 4 atoms:
Sm 0.0000 0.0000 0.0000  4 Pd 3.13, 4 Zn 3.13
Pd 0.7500 0.7500 0.7500  4 Ce 3.13, 4 Sm 3.13
Ce 0.5000 0.5000 0.5000  4 Pd 3.13, 4 Zn 3.13
Zn 0.2500 0.2500 0.2500  4 Ce 3.13, 4 Sm 3.13


Record 2
# CeSn2Pd3

An optimized crystal structure of CeSn2Pd3 (GGA-PBE, Alexandria).

Results
- Crystal system: orthorhombic
- VASP energy: -5.454 eV per atom
- Magnetization: 0.50 μB per cell
- Space-group type: No. 69
- D(E_F): 11.407 states/eV per cell
- Energy above the most stable polymorph in this dataset: 143.2 meV per atom

Cell: 4.6864 4.6864 11.8796 Å, 100.26 100.26 95.55°
Closest atoms and distances in Å follow each position.
Fractional coordinates of all 12 atoms:
Pd 0.8153 0.8153 0.6306  4 Sn 2.78, 2 Pd 2.94
Pd 0.1302 0.7255 0.8557  1 Ce 2.68, 4 Sn 2.78-3.00, 2 Pd 2.81-2.94
Pd 0.2745 0.8698 0.1443  1 Ce 2.68, 4 Sn 2.78-3.00, 2 Pd 2.81-2.94
Pd 0.7255 0.1302 0.8557  1 Ce 2.68, 4 Sn 2.78-3.00, 2 Pd 2.81-2.94
Pd 0.1847 0.1847 0.3694  4 Sn 2.78, 2 Pd 2.94
Pd 0.8698 0.2745 0.1443  1 Ce 2.68, 4 Sn 2.78-3.00, 2 Pd 2.81-2.94
Ce 0.3534 0.3534 0.7069  2 Pd 2.68
Ce 0.6466 0.6466 0.2931  2 Pd 2.68
Sn 0.2762 0.2762 0.0000  8 Pd 2.78-3.00, 1 Sn 2.82
Sn 0.7500 0.2500 0.5000  4 Pd 2.78
Sn 0.2500 0.7500 0.5000  4 Pd 2.78
Sn 0.7238 0.7238 0.0000  8 Pd 2.78-3.00, 1 Sn 2.82


Record 3
# Ce4Sn8Pd

An optimized crystal structure of Ce4Sn8Pd (GGA-PBE, Alexandria).

Results
- Crystal system: orthorhombic
- VASP energy: -5.279 eV per atom
- Magnetization: 2.57 μB per cell
- Space-group type: No. 25
- D(E_F): 22.118 states/eV per cell

Cell: 4.4659 4.5396 17.2084 Å, 90.00 90.00 90.00°
Closest atoms and distances in Å follow each position.
Fractional coordinates of all 13 atoms:
Ce 0.0000 0.0000 0.0925  10 Sn 3.22-3.58
Ce 0.5000 0.0000 0.8981  10 Sn 3.23-3.49
Ce 0.5000 0.5000 0.3967  8 Sn 3.40-3.69, 4 Pd 3.49
Ce 0.0000 0.5000 0.6092  10 Sn 3.23-3.37
Sn 0.5000 0.0000 0.5787  2 Sn 2.97, 4 Ce 3.23
Sn 0.0000 0.0000 0.4652  1 Pd 2.61
Sn 0.0000 0.0000 0.7534  4 Sn 3.18, 4 Ce 3.35-3.36
Sn 0.0000 0.5000 0.2294  2 Pd 2.69
Sn 0.0000 0.5000 0.9313  2 Sn 3.05, 4 Ce 3.23
Sn 0.5000 0.5000 0.7555  4 Sn 3.18, 4 Ce 3.34-3.37
Sn 0.5000 0.0000 0.2276  2 Pd 2.68
Sn 0.5000 0.5000 0.0521  2 Sn 3.05, 4 Ce 3.26
Pd 0.0000 0.0000 0.3133  5 Sn 2.61-2.69


Record 4
# Ce2Sn3Pd2

An optimized crystal structure of Ce2Sn3Pd2 (GGA-PBE, Alexandria).

Results
- Crystal system: orthorhombic
- VASP energy: -5.600 eV per atom
- Magnetization: 3.17 μB per cell
- Space-group type: No. 63
- D(E_F): 27.849 states/eV per cell

Cell: 4.6081 7.3916 10.2287 Å, 90.00 103.02 90.00°
Closest atoms and distances in Å follow each position.
Fractional coordinates of all 14 atoms:
Ce 0.8377 0.7500 0.6753  6 Pd 3.09-3.27, 6 Sn 3.29-3.38
Ce 0.1623 0.2500 0.3247  6 Pd 3.09-3.27, 6 Sn 3.29-3.38
Ce 0.9555 0.2500 0.9110  9 Sn 3.25-3.55
Ce 0.0445 0.7500 0.0890  9 Sn 3.25-3.55
Pd 0.2979 0.0459 0.5958  4 Sn 2.74-2.76, 1 Pd 3.02
Pd 0.7021 0.5459 0.4042  4 Sn 2.74-2.76, 1 Pd 3.02
Pd 0.2979 0.4541 0.5958  4 Sn 2.74-2.76, 1 Pd 3.02
Pd 0.7021 0.9541 0.4042  4 Sn 2.74-2.76, 1 Pd 3.02
Sn 0.2134 0.7500 0.4268  6 Pd 2.76
Sn 0.4302 0.9469 0.8604  1 Pd 2.74, 2 Sn 2.89-2.91
Sn 0.7866 0.2500 0.5732  6 Pd 2.76
Sn 0.5698 0.0531 0.1396  1 Pd 2.74, 2 Sn 2.89-2.91
Sn 0.5698 0.4469 0.1396  1 Pd 2.74, 2 Sn 2.89-2.91
Sn 0.4302 0.5531 0.8604  1 Pd 2.74, 2 Sn 2.89-2.91


Record 5
# Ce2SnPd

An optimized crystal structure of Ce2SnPd (GGA-PBE, Alexandria).

Results
- Crystal system: monoclinic
- VASP energy: -5.881 eV per atom
- Magnetization: 4.07 μB per cell
- Space-group type: No. 15
- D(E_F): 19.592 states/eV per cell

Cell: 7.3350 6.1903 6.3967 Å, 117.56 124.98 90.00°
Closest atoms and distances in Å follow each position.
Fractional coordinates of all 8 atoms:
Pd 0.3046 0.2500 0.0000  3 Sn 2.89-3.10, 4 Ce 2.97-3.06
Pd 0.6954 0.7500 0.0000  3 Sn 2.89-3.10, 4 Ce 2.97-3.06
Sn 0.3010 0.7500 0.0000  3 Pd 2.89-3.10
Sn 0.6990 0.2500 0.0000  3 Pd 2.89-3.10
Ce 0.7514 0.7427 0.5724  2 Pd 2.97-3.06, 2 Ce 3.14, 4 Sn 3.26-3.31
Ce 0.8209 0.2427 0.5724  2 Pd 2.97-3.06, 2 Ce 3.14, 4 Sn 3.26-3.31
Ce 0.2486 0.2573 0.4276  2 Pd 2.97-3.06, 2 Ce 3.14, 4 Sn 3.26-3.31
Ce 0.1791 0.7573 0.4276  2 Pd 2.97-3.06, 2 Ce 3.14, 4 Sn 3.26-3.31


Record 6
# CeSnPd4

An optimized crystal structure of CeSnPd4 (GGA-PBE, Alexandria).

Results
- Crystal system: tetragonal
- VASP energy: -5.429 eV per atom
- Magnetization: 0.85 μB per cell
- Space-group type: No. 137
- D(E_F): 14.384 states/eV per cell
- Energy above the most stable polymorph in this dataset: 307.1 meV per atom

Cell: 5.4573 5.4573 8.8487 Å, 90.00 90.00 90.00°
Closest atoms and distances in Å follow each position.
Fractional coordinates of all 12 atoms:
Pd 0.5000 0.7632 0.7500  4 Pd 2.58-2.87, 1 Ce 2.64, 1 Sn 2.64
Pd 0.7368 0.0000 0.2500  4 Pd 2.58-2.87, 1 Ce 2.64, 1 Sn 2.64
Pd 0.0000 0.2632 0.7500  4 Pd 2.58-2.87, 1 Ce 2.64, 1 Sn 2.64
Pd 0.7632 0.5000 0.2500  4 Pd 2.58-2.87, 1 Ce 2.64, 1 Sn 2.64
Pd 0.0000 0.7368 0.7500  4 Pd 2.58-2.87, 1 Ce 2.64, 1 Sn 2.64
Pd 0.2368 0.5000 0.2500  4 Pd 2.58-2.87, 1 Ce 2.64, 1 Sn 2.64
Pd 0.2632 0.0000 0.2500  4 Pd 2.58-2.87, 1 Ce 2.64, 1 Sn 2.64
Pd 0.5000 0.2368 0.7500  4 Pd 2.58-2.87, 1 Ce 2.64, 1 Sn 2.64
Sn 0.5000 0.5000 0.5000  4 Pd 2.64
Sn 0.0000 0.0000 0.0000  4 Pd 2.64
Ce 0.5000 0.5000 0.0000  4 Pd 2.64
Ce 0.0000 0.0000 0.5000  4 Pd 2.64


- Number 4 is which compound?
  Ce2Sn3Pd2


- magnetization of number 6 (CeSnPd4)?
  0.85 μB per cell